# 1
In2SnBi2 after structural relaxation, computed with PBE.

Properties
offset from the most stable computed form = 0 meV/atom
energy of formation = 0.03 eV/atom
raw total energy = -34.163 eV/cell
space group = C2/m

Cell: 5.5811 5.5811 11.6264 Å, 105.95 105.95 60.54°
Sites, in units of the cell vectors:
In: 0.0510 0.0510 0.1497
In: 0.1463 0.1463 0.4370
In: 0.8537 0.8537 0.5630
In: 0.9490 0.9490 0.8503
Sn: 0.2427 0.2427 0.7225
Sn: 0.7573 0.7573 0.2775
Bi: 0.3425 0.3425 0.0249
Bi: 0.4468 0.4468 0.3388
Bi: 0.5532 0.5532 0.6612
Bi: 0.6575 0.6575 0.9751

---

# 2
ScSnO3 after structural relaxation, computed with PBE.

Properties
E_form (uncorrected) = -1844.5 meV/atom
raw total energy = -34.432 eV/cell
space group = Pm-3m

Cell: 4.0600 4.0600 4.0600 Å, 90.00 90.00 90.00°
Sites, in units of the cell vectors:
Sc: 0.0000 0.0000 0.0000
Sn: 0.5000 0.5000 0.5000
O: 0.0000 0.0000 0.5000
O: 0.0000 0.5000 0.0000
O: 0.5000 0.0000 0.0000